No. 1
# Ta2HgIr PBE optimized geometry
# Formation energy from the elements (meV per atom): 67
data_Ta2HgIr
_cell_length_a 4.001
_cell_length_b 4.152
_cell_length_c 8.399
_cell_angle_alpha 90.00
_cell_angle_beta 90.00
_cell_angle_gamma 90.00
_space_group_name_H-M_alt 'I m m m'
_space_group_IT_number 71
_space_group_name_Hall '-I 2 2'
loop_
_atom_site_label
_atom_site_type_symbol
_atom_site_fract_x
_atom_site_fract_y
_atom_site_fract_z
Ta1 Ta 0.000 0.000 0.247
Hg1 Hg 0.000 0.500 0.000
Ir1 Ir 0.000 0.500 0.500


No. 2
# TaHg2Ir PBE optimized geometry
# Formation energy from the elements (meV per atom): 695
# ΔE to the lowest computed polymorph (meV per atom): 648.0
data_TaHg2Ir
_cell_length_a 4.882
_cell_length_b 4.882
_cell_length_c 3.088
_cell_angle_alpha 90.00
_cell_angle_beta 90.00
_cell_angle_gamma 90.00
_space_group_name_H-M_alt 'P 4/m m m'
_space_group_IT_number 123
_space_group_name_Hall '-P 4 2'
loop_
_atom_site_label
_atom_site_type_symbol
_atom_site_fract_x
_atom_site_fract_y
_atom_site_fract_z
Ta1 Ta 0.000 0.000 0.000
Hg1 Hg 0.000 0.500 0.500
Ir1 Ir 0.500 0.500 0.000


No. 3
# Ta2HgIr PBE optimized geometry
# Formation energy from the elements (meV per atom): 89
data_Ta2HgIr
_cell_length_a 2.992
_cell_length_b 4.873
_cell_length_c 9.921
_cell_angle_alpha 90.00
_cell_angle_beta 90.00
_cell_angle_gamma 90.00
_space_group_name_H-M_alt 'I m m 2'
_space_group_IT_number 44
_space_group_name_Hall 'I 2 -2'
loop_
_atom_site_label
_atom_site_type_symbol
_atom_site_fract_x
_atom_site_fract_y
_atom_site_fract_z
Ta1 Ta 0.000 0.000 0.000
Ta2 Ta 0.000 0.500 0.252
Hg1 Hg 0.000 0.500 0.780
Ir1 Ir 0.000 0.000 0.532


No. 4
# Ta2HgIr PBE optimized geometry
# Formation energy from the elements (meV per atom): 131
data_Ta2HgIr
_cell_length_a 3.0767
_cell_length_b 3.0767
_cell_length_c 27.2225
_cell_angle_alpha 90.00
_cell_angle_beta 90.00
_cell_angle_gamma 120.00
_space_group_name_H-M_alt 'R 3 m'
_space_group_IT_number 160
_space_group_name_Hall 'R 3 -2"'
loop_
_atom_site_label
_atom_site_type_symbol
_atom_site_fract_x
_atom_site_fract_y
_atom_site_fract_z
Ta1 Ta 0.0000 0.0000 0.0000
Ta2 Ta 0.0000 0.0000 0.2500
Hg1 Hg 0.0000 0.0000 0.4939
Ir1 Ir 0.0000 0.0000 0.7379


No. 5
# Ta2HgIr PBE optimized geometry
# Formation energy from the elements (meV per atom): 40
data_Ta2HgIr
_cell_length_a 9.584
_cell_length_b 2.987
_cell_length_c 5.080
_cell_angle_alpha 90.00
_cell_angle_beta 102.51
_cell_angle_gamma 90.00
_space_group_name_H-M_alt 'C 1 m 1'
_space_group_IT_number 8
_space_group_name_Hall 'C -2y'
loop_
_atom_site_label
_atom_site_type_symbol
_atom_site_fract_x
_atom_site_fract_y
_atom_site_fract_z
Ta1 Ta 0.000 0.000 0.000
Ta2 Ta 0.244 0.500 0.260
Hg1 Hg 0.006 0.500 0.512
Ir1 Ir 0.265 0.000 0.788


No. 6
# TaHgIr2 PBE optimized geometry
# Formation energy from the elements (meV per atom): 48
data_TaHgIr2
_cell_length_a 5.911
_cell_length_b 7.533
_cell_length_c 3.003
_cell_angle_alpha 90.00
_cell_angle_beta 90.00
_cell_angle_gamma 90.00
_space_group_name_H-M_alt 'C m m m'
_space_group_IT_number 65
_space_group_name_Hall '-C 2 2'
loop_
_atom_site_label
_atom_site_type_symbol
_atom_site_fract_x
_atom_site_fract_y
_atom_site_fract_z
Ta1 Ta 0.000 0.000 0.000
Hg1 Hg 0.000 0.500 0.000
Ir1 Ir 0.250 0.250 0.500


No. 7
# TaHgIr2 PBE optimized geometry
# Formation energy from the elements (meV per atom): -135
data_TaHgIr2
_cell_length_a 4.174
_cell_length_b 4.174
_cell_length_c 7.585
_cell_angle_alpha 90.00
_cell_angle_beta 90.00
_cell_angle_gamma 90.00
_space_group_name_H-M_alt 'I 4/m m m'
_space_group_IT_number 139
_space_group_name_Hall '-I 4 2'
loop_
_atom_site_label
_atom_site_type_symbol
_atom_site_fract_x
_atom_site_fract_y
_atom_site_fract_z
Ta1 Ta 0.000 0.000 0.000
Hg1 Hg 0.000 0.000 0.500
Ir1 Ir 0.000 0.500 0.250


No. 8
# TaHg2Ir PBE optimized geometry
# Formation energy from the elements (meV per atom): 349
# ΔE to the lowest computed polymorph (meV per atom): 302.2
data_TaHg2Ir
_cell_length_a 9.751
_cell_length_b 3.006
_cell_length_c 5.074
_cell_angle_alpha 90.00
_cell_angle_beta 99.56
_cell_angle_gamma 90.00
_space_group_name_H-M_alt 'C 1 2/m 1'
_space_group_IT_number 12
_space_group_name_Hall '-C 2y'
loop_
_atom_site_label
_atom_site_type_symbol
_atom_site_fract_x
_atom_site_fract_y
_atom_site_fract_z
Ta1 Ta 0.000 0.000 0.000
Hg1 Hg 0.248 0.000 0.747
Ir1 Ir 0.000 0.500 0.500


No. 9
# Ta2HgIr PBE optimized geometry
# Formation energy from the elements (meV per atom): -53
data_Ta2HgIr
_cell_length_a 2.903
_cell_length_b 4.131
_cell_length_c 5.824
_cell_angle_alpha 90.00
_cell_angle_beta 90.17
_cell_angle_gamma 90.00
_space_group_name_H-M_alt 'P 1 2/m 1'
_space_group_IT_number 10
_space_group_name_Hall '-P 2y'
loop_
_atom_site_label
_atom_site_type_symbol
_atom_site_fract_x
_atom_site_fract_y
_atom_site_fract_z
Ta1 Ta 0.001 0.000 0.268
Hg1 Hg 0.500 0.500 0.000
Ir1 Ir 0.500 0.500 0.500


No. 10
# Ta2HgIr PBE optimized geometry
# Formation energy from the elements (meV per atom): 57
data_Ta2HgIr
_cell_length_a 2.9189
_cell_length_b 2.9189
_cell_length_c 29.0221
_cell_angle_alpha 90.00
_cell_angle_beta 90.00
_cell_angle_gamma 120.00
_space_group_name_H-M_alt 'R -3 m'
_space_group_IT_number 166
_space_group_name_Hall '-R 3 2"'
loop_
_atom_site_label
_atom_site_type_symbol
_atom_site_fract_x
_atom_site_fract_y
_atom_site_fract_z
Ta1 Ta 0.0000 0.0000 0.2437
Hg1 Hg 0.0000 0.0000 0.0000
Ir1 Ir 0.0000 0.0000 0.5000


No. 11
# Ta2HgIr PBE optimized geometry
# Formation energy from the elements (meV per atom): 169
data_Ta2HgIr
_cell_length_a 9.772
_cell_length_b 2.944
_cell_length_c 5.017
_cell_angle_alpha 90.00
_cell_angle_beta 101.02
_cell_angle_gamma 90.00
_space_group_name_H-M_alt 'C 1 2/m 1'
_space_group_IT_number 12
_space_group_name_Hall '-C 2y'
loop_
_atom_site_label
_atom_site_type_symbol
_atom_site_fract_x
_atom_site_fract_y
_atom_site_fract_z
Ta1 Ta 0.243 0.000 0.235
Hg1 Hg 0.000 0.000 0.500
Ir1 Ir 0.000 0.500 0.000


No. 12
# TaHgIr2 PBE optimized geometry
# Formation energy from the elements (meV per atom): 56
data_TaHgIr2
_cell_length_a 9.291
_cell_length_b 2.916
_cell_length_c 5.076
_cell_angle_alpha 90.00
_cell_angle_beta 101.00
_cell_angle_gamma 90.00
_space_group_name_H-M_alt 'C 1 2/m 1'
_space_group_IT_number 12
_space_group_name_Hall '-C 2y'
loop_
_atom_site_label
_atom_site_type_symbol
_atom_site_fract_x
_atom_site_fract_y
_atom_site_fract_z
Ta1 Ta 0.000 0.000 0.000
Hg1 Hg 0.000 0.500 0.500
Ir1 Ir 0.240 0.500 0.224


Number 1: size of the total moment 0.00 Bohr magnetons per cell, density 17.97 g/cm3. Number 2: size of the total moment 0.00 Bohr magnetons per cell, density 17.47 g/cm3. Number 3: size of the total moment 0.00 Bohr magnetons per cell, density 17.32 g/cm3. Number 4: size of the total moment 0.00 Bohr magnetons per cell, density 16.85 g/cm3. Number 5: size of the total moment 0.00 Bohr magnetons per cell, density 17.65 g/cm3. Number 6: size of the total moment 0.00 Bohr magnetons per cell, density 19.02 g/cm3. Number 7: size of the total moment 0.00 Bohr magnetons per cell, density 19.25 g/cm3. Number 8: size of the total moment 0.00 Bohr magnetons per cell, density 17.54 g/cm3. Number 9: size of the total moment 0.00 Bohr magnetons per cell, density 17.94 g/cm3. Number 10: size of the total moment 0.00 Bohr magnetons per cell, density 17.56 g/cm3. Number 11: size of the total moment 0.00 Bohr magnetons per cell, density 17.69 g/cm3. Number 12: size of the total moment 0.00 Bohr magnetons per cell, density 18.84 g/cm3.